VASP calculation (PBE) on a relaxed Zr3Sc2Zn2 crystal.

Values from the calculation:
- E_tot: -5.9955 eV per atom
- ΔE_f: -0.16 eV/atom

POSCAR file:
```
Zr3Sc2Zn2
1.0
2.4182 1.3962 7.2012
-2.4182 1.3962 7.2012
0.0000 -2.7924 7.2012
Zr Sc Zn
3 2 2
Cartesian
0.0000 0.0000 0.0000 Zr
0.0000 0.0000 5.7021 Zr
0.0000 0.0000 14.6043 Zr
0.0000 0.0000 8.9243 Sc
0.0000 0.0000 18.1111 Sc
0.0000 0.0000 2.8472 Zn
0.0000 0.0000 11.7491 Zn
```